Entry 1:
Density functional theory data (PBE) for a geometry-optimized LaAgMoPt structure.

Lattice parameters (Å, degrees): 5.2818 3.0068 11.1266 90.00 115.66 90.00
Fractional coordinates of all 8 atoms:
Pt  0.5879  0.0000  0.2357
Pt  0.5879  0.5000  0.7357
Mo  0.2398  0.5000  0.0283
Mo  0.2398  0.0000  0.5283
La  0.1081  0.0000  0.7684
La  0.1081  0.5000  0.2684
Ag  0.7238  0.5000  0.4880
Ag  0.7238  0.0000  0.9880

Output
Fermi-level density of states in states/eV/cell: 6.34
SG: Cm (8)
Total DFT energy (no corrections) in eV per atom: -6.094
ρ in g/cm³: 11.21

Entry 2:
Density functional theory data (PBE) for a geometry-optimized SrLi7Zn5 structure.

Lattice parameters (Å, degrees): 5.2798 7.2165 7.2165 81.65 68.54 68.54
Fractional coordinates of all 13 atoms:
Zn  0.4999  0.9973  0.5021
Zn  0.0007  0.9973  0.5021
Zn  0.4999  0.5021  0.9973
Zn  0.0007  0.5021  0.9973
Zn  0.7287  0.7713  0.7713
Li  0.9946  0.6518  0.3589
Li  0.5023  0.2234  0.7719
Li  0.5023  0.7719  0.2234
Li  0.3505  0.6495  0.6495
Li  0.2643  0.2357  0.2357
Li  0.6556  0.3444  0.3444
Li  0.9946  0.3589  0.6518
Sr  0.0058  0.9942  0.9942

Output
Fermi-level density of states in states/eV/cell: 5.39
SG: Imm2 (44)
Total DFT energy (no corrections) in eV per atom: -1.809
ρ in g/cm³: 3.23

Entry 3:
Density functional theory data (PBE) for a geometry-optimized MgCo3Te structure.

Lattice parameters (Å, degrees): 4.6336 4.6336 4.6336 90.00 90.00 90.00
Last column: magnetic moment on the atom in μB.
Fractional coordinates of all 5 atoms:
Mg  0.5000  0.5000  0.5000  -0.03
Te  0.0000  0.0000  0.0000  0.00
Co  0.5000  0.0000  0.0000  1.23
Co  0.0000  0.0000  0.5000  1.07
Co  0.0000  0.5000  0.0000  1.13

Output
Fermi-level density of states in states/eV/cell: 2.22
SG: Pm-3m (221)
ρ in g/cm³: 5.49
Formation energy (no corrections) in eV/f.u.: 4.21